DFT (GGA+U) results for a geometry-optimized TiCoIr2F structure.

Cell: 4.701 4.701 3.448 Å, 90.00 90.00 90.00°
Element x y z (fractional)
Ti 0.000 0.000 0.000
Co 0.500 0.500 0.500
Ir 0.000 0.500 0.500
Ir 0.500 0.000 0.500
F 0.500 0.500 0.000

Results
Its energy is -6.134 eV/atom. As for the mass density: 11.1 g/cm³.